Entry 1:
Material: Cu3Au2
Method: DFT, meta-GGA SCAN
State: PBEsol geometry

The mass density comes out at 14.1 g/cm³. Its total DFT energy (no corrections) is -1472.706 eV/cell. The density of states at the Fermi level is 0.324 states/eV/atom. The formation enthalpy at 0 K is -0.04 eV per atom.

Cell lengths 8.953, 12.800, 4.797 Å; angles 90.00, 90.00, 90.00 degrees
Space group Fdd2 (No. 43)
Inequivalent atoms, fractional coordinates:
Cu 0.000 0.000 0.000 (multiplicity 8)
Cu 0.040 0.099 0.443 (multiplicity 16)
Au 0.032 0.198 0.920 (multiplicity 16)

=====

Entry 2:
Material: Al4CuRu
Method: DFT, meta-GGA SCAN
State: PBEsol geometry

The mass density comes out at 5.3 g/cm³. Its total DFT energy (no corrections) is -323.151 eV/cell. The density of states at the Fermi level is 0.635 states/eV/atom. The formation enthalpy at 0 K is 0.04 eV per atom.

Cell lengths 7.004, 7.004, 7.004 Å; angles 90.00, 90.00, 90.00 degrees
Space group F-43m (No. 216)
Inequivalent atoms, fractional coordinates:
Al 0.124 0.124 0.376 (multiplicity 16)
Cu 0.000 0.000 0.000 (multiplicity 4)
Ru 0.250 0.250 0.750 (multiplicity 4)

=====

Entry 3:
Material: AgHgTe2
Method: DFT, meta-GGA SCAN
State: PBEsol geometry

The mass density comes out at 9.0 g/cm³. Its total DFT energy (no corrections) is -348.390 eV/cell. The density of states at the Fermi level is 0.443 states/eV/atom. As for the formation energy without anion corrections: -0.04 eV per atom.

Cell lengths 7.492, 4.127, 7.068 Å; angles 90.00, 108.38, 90.00 degrees
Space group C2/m (No. 12)
Inequivalent atoms, fractional coordinates:
Ag 0.000 0.000 0.000 (multiplicity 2)
Hg 0.000 0.500 0.500 (multiplicity 2)
Te 0.207 0.500 0.233 (multiplicity 4)

=====

Entry 4:
Material: Cr2H24I3N9
Method: DFT, meta-GGA SCAN
State: PBEsol geometry

The mass density comes out at 2.5 g/cm³. Its total DFT energy (no corrections) is -668.443 eV/cell. The density of states at the Fermi level is 0.000 states/eV/atom.

Cell lengths 7.5314, 7.5314, 17.4476 Å; angles 90.00, 90.00, 120.00 degrees
Space group P6_3/mmc (No. 194)
Inequivalent atoms, fractional coordinates:
Cr 0.3333 0.6667 0.1720 (multiplicity 4)
H 0.0126 0.3954 0.2500 (multiplicity 12)
H 0.0485 0.3190 0.1116 (multiplicity 24)
H 0.2232 0.4463 0.0438 (multiplicity 12)
I 0.0000 0.0000 0.2500 (multiplicity 2)
I 0.3333 0.6667 0.5889 (multiplicity 4)
N 0.1051 0.5525 0.2500 (multiplicity 6)
N 0.2036 0.4072 0.1013 (multiplicity 12)

=====

Entry 5:
Material: Ta2CoPt
Method: DFT, meta-GGA SCAN
State: PBEsol geometry

The mass density comes out at 16.9 g/cm³. Its total DFT energy (no corrections) is -222.175 eV/cell. The density of states at the Fermi level is 0.814 states/eV/atom. The formation enthalpy at 0 K is -0.38 eV per atom.

Cell lengths 3.202, 3.202, 5.908 Å; angles 90.00, 90.00, 90.00 degrees
Space group P4mm (No. 99)
Inequivalent atoms, fractional coordinates:
Ta 0.000 0.000 0.000 (multiplicity 1)
Ta 0.500 0.500 0.303 (multiplicity 1)
Co 0.000 0.000 0.497 (multiplicity 1)
Pt 0.500 0.500 0.760 (multiplicity 1)

=====

Entry 6:
Material: CaMgIr2
Method: DFT, meta-GGA SCAN
State: PBEsol geometry

The mass density comes out at 10.5 g/cm³. Its total DFT energy (no corrections) is -315.476 eV/cell. The density of states at the Fermi level is 0.604 states/eV/atom. The formation enthalpy at 0 K is -0.23 eV per atom.

Cell lengths 2.941, 4.686, 10.257 Å; angles 90.00, 90.00, 90.00 degrees
Space group Imm2 (No. 44)
Inequivalent atoms, fractional coordinates:
Ca 0.000 0.000 0.000 (multiplicity 2)
Mg 0.000 0.500 0.208 (multiplicity 2)
Ir 0.000 0.000 0.474 (multiplicity 2)
Ir 0.000 0.500 0.767 (multiplicity 2)

=====

Entry 7:
Material: Ba2YTl
Method: DFT, meta-GGA SCAN
State: PBEsol geometry

The mass density comes out at 6.7 g/cm³. Its total DFT energy (no corrections) is -359.431 eV/cell. The density of states at the Fermi level is 0.402 states/eV/atom. The formation enthalpy at 0 K is -0.10 eV per atom.

Cell lengths 5.056, 5.056, 10.975 Å; angles 90.00, 90.00, 90.00 degrees
Space group I4/mmm (No. 139)
Inequivalent atoms, fractional coordinates:
Ba 0.000 0.500 0.250 (multiplicity 4)
Y 0.000 0.000 0.000 (multiplicity 2)
Tl 0.000 0.000 0.500 (multiplicity 2)

=====

Entry 8:
Material: ReRhBr2N
Method: DFT, meta-GGA SCAN
State: PBEsol geometry

The mass density comes out at 6.1 g/cm³. Its total DFT energy (no corrections) is -143.363 eV/cell. The density of states at the Fermi level is 0.399 states/eV/atom. As for the formation energy without anion corrections: 1.94 eV per atom.

Cell lengths 5.136, 5.136, 4.751 Å; angles 90.00, 90.00, 90.00 degrees
Space group P4/mmm (No. 123)
Inequivalent atoms, fractional coordinates:
Re 0.000 0.000 0.000 (multiplicity 1)
Rh 0.000 0.000 0.500 (multiplicity 1)
Br 0.000 0.500 0.500 (multiplicity 2)
N 0.500 0.500 0.000 (multiplicity 1)

=====

Entry 9:
Material: MgZr3I
Method: DFT, meta-GGA SCAN
State: PBEsol geometry

The mass density comes out at 5.4 g/cm³. Its total DFT energy (no corrections) is -128.273 eV/cell. The density of states at the Fermi level is 1.130 states/eV/atom. As for the formation energy without anion corrections: 1.11 eV per atom.

Cell lengths 5.076, 5.076, 5.076 Å; angles 90.00, 90.00, 90.00 degrees
Space group Pm-3m (No. 221)
Inequivalent atoms, fractional coordinates:
Mg 0.000 0.000 0.000 (multiplicity 1)
Zr 0.000 0.000 0.500 (multiplicity 3)
I 0.500 0.500 0.500 (multiplicity 1)

=====

Entry 10:
Material: InAg2Se
Method: DFT, meta-GGA SCAN
State: PBEsol geometry

The mass density comes out at 8.8 g/cm³. Its total DFT energy (no corrections) is -115.659 eV/cell. The density of states at the Fermi level is 0.300 states/eV/atom. As for the formation energy without anion corrections: 0.14 eV per atom.

Cell lengths 3.070, 3.070, 8.159 Å; angles 90.00, 90.00, 90.00 degrees
Space group P4/mmm (No. 123)
Inequivalent atoms, fractional coordinates:
In 0.000 0.000 0.000 (multiplicity 1)
Ag 0.500 0.500 0.255 (multiplicity 2)
Se 0.000 0.000 0.500 (multiplicity 1)

=====

Entry 11:
Material: PaIn3
Method: DFT, meta-GGA SCAN
State: PBEsol geometry

The mass density comes out at 10.1 g/cm³. Its total DFT energy (no corrections) is -200.456 eV/cell. The density of states at the Fermi level is 1.066 states/eV/atom. The formation enthalpy at 0 K is -0.16 eV per atom.

Cell lengths 4.563, 4.563, 4.563 Å; angles 90.00, 90.00, 90.00 degrees
Space group Pm-3m (No. 221)
Inequivalent atoms, fractional coordinates:
Pa 0.000 0.000 0.000 (multiplicity 1)
In 0.000 0.500 0.500 (multiplicity 3)

=====

Entry 12:
Material: Li2NiOs
Method: DFT, meta-GGA SCAN
State: PBEsol geometry

The mass density comes out at 9.0 g/cm³. Its total DFT energy (no corrections) is -185.452 eV/cell. The density of states at the Fermi level is 0.394 states/eV/atom. The formation enthalpy at 0 K is 0.03 eV per atom.

Cell lengths 2.521, 4.357, 8.820 Å; angles 90.00, 90.00, 90.00 degrees
Space group Immm (No. 71)
Inequivalent atoms, fractional coordinates:
Li 0.000 0.000 0.235 (multiplicity 4)
Ni 0.000 0.500 0.500 (multiplicity 2)
Os 0.000 0.500 0.000 (multiplicity 2)

=====

Entry 13:
Material: Li2AlTlSb
Method: DFT, meta-GGA SCAN
State: PBEsol geometry

The mass density comes out at 4.7 g/cm³. Its total DFT energy (no corrections) is -120.401 eV/cell. The density of states at the Fermi level is 0.632 states/eV/atom. As for the formation energy without anion corrections: 0.35 eV per atom.

Cell lengths 5.024, 5.024, 5.084 Å; angles 90.00, 90.00, 90.00 degrees
Space group P4/mmm (No. 123)
Inequivalent atoms, fractional coordinates:
Li 0.000 0.500 0.000 (multiplicity 2)
Al 0.000 0.000 0.000 (multiplicity 1)
Tl 0.000 0.000 0.500 (multiplicity 1)
Sb 0.500 0.500 0.500 (multiplicity 1)

=====

no.,calculated volume (A^3/atom),total magnetic moment (μB per atom)
1,13.74,0.00
2,14.32,0.00
3,25.93,0.00
4,11.28,0.16
5,15.15,0.18
6,17.67,0.00
7,35.08,0.00
8,25.06,1.35
9,26.15,0.00
10,19.23,0.00
11,23.75,0.20
12,12.11,0.21
13,25.67,0.00